Density functional theory data (GGA-PBE) for a geometry-optimized NaPaSiO6 structure.

abc: 4.6111 5.2646 5.2646
angles: 120.00 90.00 90.00
Closest atoms and distances in Å follow each position.
Element x y z (fractional)
O1 0.2776 0.0387 0.7421  1 Si 1.79
O2 0.2776 0.2579 0.2966  1 Si 1.79
O3 0.7224 0.0387 0.2966  1 Si 1.79
Si1 0.5000 0.0000 0.0000  6 O 1.79
O4 0.7224 0.7034 0.7421  1 Si 1.79
Pa1 0.0000 0.3333 0.6667  6 O 2.20
O5 0.2776 0.7034 0.9613  1 Si 1.79
O6 0.7224 0.2579 0.9613  1 Si 1.79
Na1 0.5000 0.6667 0.3333  6 O 2.30

SG: No. 149
Final energy (eV per atom): -7.42
Total moment (μB per atom): 0.2233

***

Density functional theory data (GGA-PBE) for a geometry-optimized BaHg2Mo structure.

abc: 3.8596 3.8573 7.5987
angles: 90.00 90.00 90.00
Closest atoms and distances in Å follow each position.
Element x y z (fractional)
Hg1 0.5000 0.5000 0.2988  4 Mo 2.87
Ba1 0.5000 0.5000 0.7425  5 Hg 3.37-3.56, 4 Mo 3.69
Mo1 0.0000 0.0000 0.4159  5 Hg 2.84-2.87
Hg2 0.0000 0.0000 0.0428  1 Mo 2.84

SG: No. 99
E above lowest polymorph (eV/atom): 0.151
Calculated formation energy (eV/atom): 0.516
Total moment (μB per atom): 0.5245

***

Question: What is the formula in the first record?
Answer: NaPaSiO6